First-principles (GGA-PBE) data for crystalline BaPb5Br12 at its relaxed geometry, as listed in Alexandria.

Cell and atoms, written as POSCAR:
```
BaPb5Br12
1.0
7.897 0.000 0.021
3.948 6.890 0.010
0.023 0.000 13.740
Ba Pb Br
1 5 12
Cartesian
0.000 0.000 0.000
3.960 0.000 6.881
3.960 4.591 6.881
7.909 2.299 6.891
7.897 4.593 0.021
3.949 2.297 0.010
6.609 0.000 5.274
1.311 0.000 8.487
5.150 0.000 12.086
2.770 0.000 1.675
5.352 4.478 12.090
10.465 4.478 1.692
1.404 2.411 12.079
6.517 2.411 1.682
5.267 2.294 8.489
9.216 4.595 8.499
2.653 2.294 5.273
6.602 4.595 5.283
```

Summary:
Its symmetry is C2/m. The calculation puts the magnetic moment at 0.000 μB per cell. The energy relative to the elements, uncorrected is -1.12 eV per atom. For the electronic total energy, the calculation gives -3.368 eV/atom.


First-principles (GGA-PBE) data for crystalline BaPbBr4 at its relaxed geometry, as listed in Alexandria.

Cell and atoms, written as POSCAR:
```
BaPbBr4
1.0
4.841 0.000 0.000
0.000 7.339 0.014
0.000 0.026 7.339
Ba Pb Br
1 1 4
Cartesian
0.000 3.683 3.677
2.421 0.000 0.000
2.421 2.180 5.183
0.000 5.994 5.983
4.841 1.372 1.370
2.421 5.186 2.171
```

Summary:
Its symmetry is Cmmm. The calculation puts the magnetic moment at 0.000 μB per cell. The energy relative to the elements, uncorrected is -1.52 eV per atom. For the electronic total energy, the calculation gives -3.575 eV/atom.


First-principles (GGA-PBE) data for crystalline BaPb2Br at its relaxed geometry, as listed in Alexandria.

Cell and atoms, written as POSCAR:
```
BaPb2Br
1.0
-2.381 -4.420 -1.950
1.005 -2.579 4.620
-5.381 1.912 2.237
Pb Ba Br
2 1 1
Cartesian
-0.114 0.041 0.048
-2.576 0.915 1.071
-2.034 -3.022 1.895
-4.724 -2.066 3.013
```

Summary:
Its symmetry is P4/mmm. The calculation puts the magnetic moment at 0.000 μB per cell. The energy relative to the elements, uncorrected is -0.52 eV per atom. For the electronic total energy, the calculation gives -3.269 eV/atom.


First-principles (GGA-PBE) data for crystalline BaPbBr at its relaxed geometry, as listed in Alexandria.

Cell and atoms, written as POSCAR:
```
BaPbBr
1.0
7.748 -0.148 0.158
6.738 3.827 0.154
1.009 0.260 3.966
Pb Ba Br
1 1 1
Cartesian
9.909 2.518 1.553
14.120 3.586 0.412
5.951 1.514 2.627
```

Summary:
Its symmetry is I4mm. The calculation puts the magnetic moment at 0.745 μB per cell. The energy relative to the elements, uncorrected is -0.82 eV per atom. For the electronic total energy, the calculation gives -3.259 eV/atom.


First-principles (GGA-PBE) data for crystalline BaPbBr at its relaxed geometry, as listed in Alexandria.

Cell and atoms, written as POSCAR:
```
BaPbBr
1.0
-5.348 1.197 -0.826
-3.056 -3.156 -3.379
-3.933 -3.298 2.092
Pb Ba Br
1 1 1
Cartesian
0.000 0.000 0.000
-6.169 -2.628 -1.057
-9.253 -3.943 -1.585
```

Summary:
Its symmetry is F-43m. The calculation puts the magnetic moment at 0.002 μB per cell. The energy relative to the elements, uncorrected is -0.60 eV per atom. For the electronic total energy, the calculation gives -3.034 eV/atom.


First-principles (GGA-PBE) data for crystalline Ba2PbBr at its relaxed geometry, as listed in Alexandria.

Cell and atoms, written as POSCAR:
```
Ba2PbBr
1.0
7.046 0.001 0.000
5.816 3.977 0.000
0.000 0.000 5.863
Pb Ba Br
1 2 1
Cartesian
3.351 1.037 0.733
12.776 3.951 0.732
9.584 2.964 3.664
6.444 1.993 3.663
```

Summary:
Its symmetry is Amm2. The calculation puts the magnetic moment at 0.000 μB per cell. The energy relative to the elements, uncorrected is -1.07 eV per atom. For the electronic total energy, the calculation gives -3.376 eV/atom.


First-principles (GGA-PBE) data for crystalline BaPb2Br at its relaxed geometry, as listed in Alexandria.

Cell and atoms, written as POSCAR:
```
BaPb2Br
1.0
0.000 4.143 4.143
4.143 0.000 4.143
4.143 4.143 0.000
Pb Ba Br
2 1 1
Cartesian
2.072 2.072 2.072
6.215 6.215 6.215
4.143 4.143 4.143
0.000 0.000 0.000
```

Summary:
Its symmetry is Fm-3m. The calculation puts the magnetic moment at 0.000 μB per cell. The energy relative to the elements, uncorrected is -0.21 eV per atom. For the electronic total energy, the calculation gives -2.962 eV/atom.


First-principles (GGA-PBE) data for crystalline BaPbBr at its relaxed geometry, as listed in Alexandria.

Cell and atoms, written as POSCAR:
```
BaPbBr
1.0
-4.864 -1.352 2.422
2.096 -3.229 -4.066
2.001 -2.209 2.786
Pb Ba Br
1 1 1
Cartesian
-1.544 -3.082 1.652
0.001 -0.001 0.001
0.776 -3.708 -0.511
```

Summary:
Its symmetry is P-6m2. The calculation puts the magnetic moment at 0.000 μB per cell. The energy relative to the elements, uncorrected is -0.69 eV per atom. For the electronic total energy, the calculation gives -3.121 eV/atom.


Repeat the seventh record exactly.
First-principles (GGA-PBE) data for crystalline BaPb2Br at its relaxed geometry, as listed in Alexandria.

Cell and atoms, written as POSCAR:
```
BaPb2Br
1.0
0.000 4.143 4.143
4.143 0.000 4.143
4.143 4.143 0.000
Pb Ba Br
2 1 1
Cartesian
2.072 2.072 2.072
6.215 6.215 6.215
4.143 4.143 4.143
0.000 0.000 0.000
```

Summary:
Its symmetry is Fm-3m. The calculation puts the magnetic moment at 0.000 μB per cell. The energy relative to the elements, uncorrected is -0.21 eV per atom. For the electronic total energy, the calculation gives -2.962 eV/atom.


Question: Among the records above, which one has the lowest energy relative to the elements, uncorrected?
Answer: BaPbBr4


Question: Which of these has the lowest energy relative to the elements, uncorrected?
Answer: BaPbBr4


Question: What is the magnetic moment in the third record?
Answer: 0.000 μB per cell